Record 1
Zr2AlTe: PBEsol geometry, meta-GGA SCAN.

Properties
As for the crystal system: orthorhombic. The calculated density is 6.82 g/cm3. For the energy above the lowest structure with this stoichiometry, the calculation gives 1.2 kJ per mole of atoms. As for the uncorrected formation energy: -454 meV/atom.

abc: 3.3946 3.8508 6.2760
angles: 90.00 90.00 90.00
Last column: nearest neighbours and their distance in Å.
Sites, in units of the cell vectors:
Zr 0.0000 0.0000 0.2420  4 Al 2.98, 4 Te 3.03, 2 Zr 3.04-3.24
Zr 0.0000 0.0000 0.7580  4 Al 2.98, 4 Te 3.03, 2 Zr 3.04-3.24
Te 0.5000 0.5000 0.5000  8 Zr 3.03, 2 Al 3.14, 2 Te 3.39
Al 0.5000 0.5000 0.0000  8 Zr 2.98, 2 Te 3.14


Record 2
ThAl2: PBEsol geometry, meta-GGA SCAN.

Properties
The formation energy comes out at -0.44 eV per atom. As for the crystal system: hexagonal. The calculated density is 6.94 g/cm3.

abc: 4.0813 4.4001 4.4001
angles: 120.00 90.00 90.00
Last column: nearest neighbours and their distance in Å.
Sites, in units of the cell vectors:
Al 0.5000 0.3333 0.6667  3 Al 2.54
Al 0.5000 0.6667 0.3333  3 Al 2.54
Th 0.0000 0.0000 0.0000  12 Al 3.26


Record 3
TiAl2: PBEsol geometry, meta-GGA SCAN.

Properties
The formation energy comes out at -0.45 eV per atom. As for the crystal system: orthorhombic. The calculated density is 3.63 g/cm3.

abc: 3.8981 3.9672 6.3336
angles: 90.00 107.92 90.00
Last column: nearest neighbours and their distance in Å.
Sites, in units of the cell vectors:
Ti 0.6564 0.0000 0.3129  10 Al 2.71-2.86, 2 Ti 2.98
Ti 0.3436 0.0000 0.6871  10 Al 2.71-2.86, 2 Ti 2.98
Al 0.8273 0.5000 0.6546  6 Al 2.70-2.88, 6 Ti 2.79-2.86
Al 0.0000 0.0000 0.0000  4 Ti 2.71, 8 Al 2.78-2.88
Al 0.1727 0.5000 0.3454  6 Al 2.70-2.88, 6 Ti 2.79-2.86
Al 0.5000 0.5000 0.0000  4 Ti 2.74, 8 Al 2.78-2.85


Record 4
Ti3Al5: PBEsol geometry, meta-GGA SCAN.

Properties
The formation energy comes out at -0.42 eV per atom. As for the crystal system: tetragonal. The calculated density is 3.70 g/cm3.

abc: 3.8815 3.8815 8.2855
angles: 90.00 90.00 90.00
Last column: nearest neighbours and their distance in Å.
Sites, in units of the cell vectors:
Ti 0.5000 0.5000 0.5000  4 Ti 2.74, 8 Al 2.83
Ti 0.5000 0.5000 0.0000  12 Al 2.74-2.85
Ti 0.0000 0.0000 0.5000  4 Ti 2.74, 8 Al 2.83
Al 0.5000 0.0000 0.7478  6 Al 2.74-2.85, 6 Ti 2.83-2.85
Al 0.0000 0.5000 0.2522  6 Al 2.74-2.85, 6 Ti 2.83-2.85
Al 0.5000 0.0000 0.2522  6 Al 2.74-2.85, 6 Ti 2.83-2.85
Al 0.0000 0.5000 0.7478  6 Al 2.74-2.85, 6 Ti 2.83-2.85
Al 0.0000 0.0000 0.0000  4 Ti 2.74, 8 Al 2.85


Record 5
Ti3Al5: PBEsol geometry, meta-GGA SCAN.

Properties
The formation energy comes out at -0.44 eV per atom. As for the crystal system: orthorhombic. The calculated density is 3.70 g/cm3.

abc: 3.8821 3.9943 8.0558
angles: 90.00 90.00 90.00
Last column: nearest neighbours and their distance in Å.
Sites, in units of the cell vectors:
Ti 0.0000 0.5000 0.2647  10 Al 2.71-2.92, 2 Ti 2.88
Ti 0.5000 0.5000 0.0000  8 Al 2.79, 4 Ti 2.88
Ti 0.0000 0.5000 0.7353  10 Al 2.71-2.92, 2 Ti 2.88
Al 0.5000 0.0000 0.7584  6 Al 2.75-2.88, 6 Ti 2.79
Al 0.0000 0.0000 0.0000  4 Al 2.75, 8 Ti 2.79-2.92
Al 0.5000 0.0000 0.2416  6 Al 2.75-2.88, 6 Ti 2.79
Al 0.0000 0.0000 0.5000  4 Ti 2.75, 8 Al 2.79-2.85
Al 0.5000 0.5000 0.5000  4 Ti 2.71, 8 Al 2.79-2.88


Record 6
TiAl2: PBEsol geometry, meta-GGA SCAN.

Properties
The formation energy comes out at -0.46 eV per atom. As for the crystal system: tetragonal. The calculated density is 3.63 g/cm3.

abc: 3.9321 3.9321 12.3704
angles: 99.14 99.14 90.00
Last column: nearest neighbours and their distance in Å.
Sites, in units of the cell vectors:
Ti 0.0780 0.0780 0.1559  10 Al 2.72-2.85, 2 Ti 3.00
Ti 0.1720 0.6720 0.3441  10 Al 2.72-2.85, 2 Ti 3.00
Ti 0.3280 0.8280 0.6559  10 Al 2.72-2.85, 2 Ti 3.00
Ti 0.9220 0.9220 0.8441  10 Al 2.72-2.85, 2 Ti 3.00
Al 0.6635 0.1635 0.3271  6 Al 2.70-2.87, 6 Ti 2.79-2.85
Al 0.8365 0.3365 0.6729  6 Al 2.70-2.87, 6 Ti 2.79-2.85
Al 0.7499 0.7499 0.4997  4 Ti 2.72, 8 Al 2.78-2.87
Al 0.5001 0.0001 0.0003  4 Ti 2.72, 8 Al 2.78-2.87
Al 0.2501 0.2501 0.5003  4 Ti 2.72, 8 Al 2.78-2.87
Al 0.4135 0.4135 0.8271  6 Al 2.70-2.87, 6 Ti 2.79-2.85
Al 0.9999 0.4999 0.9997  4 Ti 2.72, 8 Al 2.78-2.87
Al 0.5865 0.5865 0.1729  6 Al 2.70-2.87, 6 Ti 2.79-2.85


Record 7
TiAlTl3: PBEsol geometry, meta-GGA SCAN.

Properties
The formation energy comes out at 0.58 eV per atom. As for the crystal system: cubic. The calculated density is 7.54 g/cm3.

abc: 5.3302 5.3302 5.3302
angles: 90.00 90.00 90.00
Last column: nearest neighbours and their distance in Å.
Sites, in units of the cell vectors:
Tl 0.5000 0.0000 0.0000  2 Ti 2.67
Tl 0.0000 0.0000 0.5000  2 Ti 2.67
Tl 0.0000 0.5000 0.0000  2 Ti 2.67
Ti 0.0000 0.0000 0.0000  6 Tl 2.67
Al 0.5000 0.5000 0.5000  12 Tl 3.77


Record 8
TiAlW3: PBEsol geometry, meta-GGA SCAN.

Properties
The formation energy comes out at 1.71 eV per atom. As for the crystal system: cubic. The calculated density is 11.47 g/cm3.

abc: 4.4923 4.4923 4.4923
angles: 90.00 90.00 90.00
Last column: nearest neighbours and their distance in Å.
Sites, in units of the cell vectors:
W 0.5000 0.0000 0.0000  2 Al 2.25
W 0.0000 0.5000 0.0000  2 Al 2.25
W 0.0000 0.0000 0.5000  2 Al 2.25
Al 0.0000 0.0000 0.0000  6 W 2.25
Ti 0.5000 0.5000 0.5000  12 W 3.18


Record 9
YTiAl3: PBEsol geometry, meta-GGA SCAN.

Properties
The formation energy comes out at 0.19 eV per atom. As for the crystal system: cubic. The calculated density is 3.24 g/cm3.

abc: 4.8157 4.8157 4.8157
angles: 90.00 90.00 90.00
Last column: nearest neighbours and their distance in Å.
Sites, in units of the cell vectors:
Ti 0.0000 0.0000 0.0000  6 Al 2.41
Al 0.5000 0.0000 0.0000  2 Ti 2.41
Al 0.0000 0.5000 0.0000  2 Ti 2.41
Al 0.0000 0.0000 0.5000  2 Ti 2.41
Y 0.5000 0.5000 0.5000  12 Al 3.41


Record 10
Ti4Al11Zn: PBEsol geometry, meta-GGA SCAN.

Properties
The formation energy comes out at -0.41 eV per atom. As for the crystal system: tetragonal. The calculated density is 3.74 g/cm3.

abc: 3.8733 3.8733 16.3971
angles: 90.00 90.00 90.00
Last column: nearest neighbours and their distance in Å.
Sites, in units of the cell vectors:
Al 0.5000 0.0000 0.7512  8 Al 2.74-2.83, 4 Ti 2.91
Al 0.0000 0.5000 0.0030  4 Ti 2.71-2.76, 6 Al 2.74-2.83, 2 Zn 2.76
Al 0.5000 0.0000 0.0030  4 Ti 2.71-2.76, 6 Al 2.74-2.83, 2 Zn 2.76
Al 0.5000 0.5000 0.8770  4 Ti 2.74, 8 Al 2.83
Al 0.0000 0.0000 0.3713  4 Ti 2.74, 8 Al 2.82-2.86
Al 0.0000 0.0000 0.6253  4 Ti 2.74, 8 Al 2.83
Al 0.0000 0.5000 0.2466  6 Al 2.74-2.82, 2 Zn 2.80, 4 Ti 2.85-2.94
Al 0.5000 0.0000 0.2466  6 Al 2.74-2.82, 2 Zn 2.80, 4 Ti 2.85-2.94
Al 0.0000 0.5000 0.7512  8 Al 2.74-2.83, 4 Ti 2.91
Al 0.0000 0.5000 0.4994  4 Ti 2.73-2.75, 8 Al 2.74-2.86
Al 0.5000 0.0000 0.4994  4 Ti 2.73-2.75, 8 Al 2.74-2.86
Ti 0.0000 0.0000 0.1189  8 Al 2.71-2.85, 4 Zn 2.74
Ti 0.5000 0.5000 0.3818  12 Al 2.73-2.94
Ti 0.0000 0.0000 0.8835  12 Al 2.74-2.91
Ti 0.5000 0.5000 0.6187  12 Al 2.74-2.91
Zn 0.5000 0.5000 0.1232  4 Ti 2.74, 8 Al 2.76-2.80


Record 11
ZrTiAl3: PBEsol geometry, meta-GGA SCAN.

Properties
The formation energy comes out at 0.59 eV per atom. As for the crystal system: cubic. The calculated density is 3.54 g/cm3.

abc: 4.6914 4.6914 4.6914
angles: 90.00 90.00 90.00
Last column: nearest neighbours and their distance in Å.
Sites, in units of the cell vectors:
Al 0.0000 0.0000 0.5000  2 Ti 2.35
Al 0.5000 0.0000 0.0000  2 Ti 2.35
Al 0.0000 0.5000 0.0000  2 Ti 2.35
Ti 0.0000 0.0000 0.0000  6 Al 2.35
Zr 0.5000 0.5000 0.5000  12 Al 3.32


Record 12
Zr2TiAl2: PBEsol geometry, meta-GGA SCAN.

Properties
The formation energy comes out at -0.37 eV per atom. As for the crystal system: tetragonal. The calculated density is 4.93 g/cm3.

abc: 3.7377 7.1565 7.1565
angles: 90.00 90.00 90.00
Last column: nearest neighbours and their distance in Å.
Sites, in units of the cell vectors:
Zr 0.5000 0.1743 0.6743  6 Al 2.75-2.87
Zr 0.5000 0.8257 0.3257  6 Al 2.75-2.87
Zr 0.5000 0.3257 0.1743  6 Al 2.75-2.87
Zr 0.5000 0.6743 0.8257  6 Al 2.75-2.87
Al 0.0000 0.6267 0.1267  1 Al 2.57, 6 Zr 2.75-2.87, 2 Ti 2.82
Al 0.0000 0.3733 0.8733  1 Al 2.57, 6 Zr 2.75-2.87, 2 Ti 2.82
Al 0.0000 0.1267 0.3733  1 Al 2.57, 6 Zr 2.75-2.87, 2 Ti 2.82
Al 0.0000 0.8733 0.6267  1 Al 2.57, 6 Zr 2.75-2.87, 2 Ti 2.82
Ti 0.0000 0.5000 0.5000  4 Al 2.82
Ti 0.0000 0.0000 0.0000  4 Al 2.82


Record 13
ZrTi3Al: PBEsol geometry, meta-GGA SCAN.

Properties
The formation energy comes out at 1.14 eV per atom. As for the crystal system: cubic. The calculated density is 4.18 g/cm3. For the energy above the lowest structure with this stoichiometry, the calculation gives 44.9 kJ per mole of atoms.

abc: 4.7031 4.7031 4.7031
angles: 90.00 90.00 90.00
Last column: nearest neighbours and their distance in Å.
Sites, in units of the cell vectors:
Ti 0.5000 0.0000 0.0000  2 Zr 2.35
Ti 0.0000 0.5000 0.0000  2 Zr 2.35
Ti 0.0000 0.0000 0.5000  2 Zr 2.35
Al 0.5000 0.5000 0.5000  12 Ti 3.33
Zr 0.0000 0.0000 0.0000  6 Ti 2.35


Record 14
ZrTi3Al: PBEsol geometry, meta-GGA SCAN.

Properties
The formation energy comes out at 0.68 eV per atom. As for the crystal system: cubic. The calculated density is 4.24 g/cm3. For the energy above the lowest structure with this stoichiometry, the calculation gives 0.0 kJ per mole of atoms.

abc: 4.6821 4.6821 4.6821
angles: 90.00 90.00 90.00
Last column: nearest neighbours and their distance in Å.
Sites, in units of the cell vectors:
Ti 0.0000 0.0000 0.5000  2 Al 2.34
Ti 0.5000 0.0000 0.0000  2 Al 2.34
Ti 0.0000 0.5000 0.0000  2 Al 2.34
Al 0.0000 0.0000 0.0000  6 Ti 2.34
Zr 0.5000 0.5000 0.5000  12 Ti 3.31


Record 15
Al5Tl3: PBEsol geometry, meta-GGA SCAN.

Properties
The formation energy comes out at 0.31 eV per atom. As for the crystal system: orthorhombic. The calculated density is 7.30 g/cm3.

abc: 4.5855 6.0989 6.0989
angles: 94.22 90.00 90.00
Last column: nearest neighbours and their distance in Å.
Sites, in units of the cell vectors:
Al 0.0000 0.0000 0.5000  6 Al 3.05-3.20, 6 Tl 3.05-3.09
Al 0.5000 0.2409 0.2409  6 Tl 2.96-3.14, 6 Al 3.04-3.20
Al 0.0000 0.5000 0.0000  6 Tl 3.05-3.09, 6 Al 3.05-3.20
Al 0.5000 0.7591 0.7591  6 Tl 2.96-3.14, 6 Al 3.04-3.20
Al 0.0000 0.0000 0.0000  8 Al 3.04-3.05, 4 Tl 3.16
Tl 0.5000 0.2436 0.7564  10 Al 2.96-3.16, 2 Tl 3.24
Tl 0.5000 0.7564 0.2436  10 Al 2.96-3.16, 2 Tl 3.24
Tl 0.0000 0.5000 0.5000  8 Al 3.05-3.14, 4 Tl 3.24


Record 16
AlTl4W: PBEsol geometry, meta-GGA SCAN.

Properties
The formation energy comes out at 1.34 eV per atom. As for the crystal system: cubic. The calculated density is 12.01 g/cm3.

abc: 5.8584 5.8584 5.8584
angles: 60.00 60.00 60.00
Last column: nearest neighbours and their distance in Å.
Sites, in units of the cell vectors:
Tl 0.3753 0.3753 0.8741  6 Tl 2.92-2.94
Tl 0.8741 0.3753 0.3753  6 Tl 2.92-2.94
Tl 0.3753 0.8741 0.3753  6 Tl 2.92-2.94
Tl 0.3753 0.3753 0.3753  6 Tl 2.92-2.94
Al 0.0000 0.0000 0.0000  12 Tl 3.44, 4 W 3.59
W 0.7500 0.7500 0.7500  12 Tl 3.43, 4 Al 3.59


Record 17
AlTlW2: PBEsol geometry, meta-GGA SCAN.

Properties
The formation energy comes out at 0.64 eV per atom. As for the crystal system: orthorhombic. The calculated density is 14.64 g/cm3. For the energy above the lowest structure with this stoichiometry, the calculation gives 0.0 kJ per mole of atoms.

abc: 3.3761 4.5596 5.2457
angles: 115.76 108.77 90.00
Last column: nearest neighbours and their distance in Å.
Sites, in units of the cell vectors:
Al 0.4884 0.4884 0.9768  6 W 2.75-2.85, 2 Tl 2.86
W 0.7428 0.2428 0.4856  2 W 2.60, 2 Al 2.75, 4 Tl 2.84
W 0.0182 0.0182 0.0364  2 W 2.60, 4 Al 2.85, 2 Tl 2.90
Tl 0.2506 0.7506 0.5012  8 W 2.84-3.07, 4 Al 2.86-3.10


Record 18
AlTlW2: PBEsol geometry, meta-GGA SCAN.

Properties
The formation energy comes out at 0.93 eV per atom. As for the crystal system: tetragonal. The calculated density is 14.86 g/cm3. For the energy above the lowest structure with this stoichiometry, the calculation gives 27.7 kJ per mole of atoms.

abc: 2.8727 4.8277 4.8277
angles: 90.00 90.00 90.00
Last column: nearest neighbours and their distance in Å.
Sites, in units of the cell vectors:
Tl 0.5000 0.0000 0.0000  8 W 2.81, 2 Tl 2.87
Al 0.5000 0.5000 0.5000  8 W 2.81, 2 Al 2.87
W 0.0000 0.5000 0.0000  4 Al 2.81, 4 Tl 2.81, 2 W 2.87
W 0.0000 0.0000 0.5000  4 Al 2.81, 4 Tl 2.81, 2 W 2.87


Record 19
YAl2Tl: PBEsol geometry, meta-GGA SCAN.

Properties
The formation energy comes out at -0.05 eV per atom. As for the crystal system: tetragonal. The calculated density is 6.14 g/cm3. For the energy above the lowest structure with this stoichiometry, the calculation gives 15.5 kJ per mole of atoms.

abc: 6.0190 6.3448 6.3448
angles: 77.00 61.68 61.68
Last column: nearest neighbours and their distance in Å.
Sites, in units of the cell vectors:
Tl 0.7500 0.5000 0.5000  4 Al 2.73, 2 Y 3.01
Tl 0.0000 0.0000 0.0000  4 Al 2.73, 2 Y 3.01
Al 0.0946 0.0304 0.5304  2 Tl 2.73, 2 Al 3.05, 2 Y 3.06
Al 0.3750 0.5304 0.9696  2 Tl 2.73, 2 Al 3.05, 2 Y 3.06
Al 0.6554 0.9696 0.4696  2 Tl 2.73, 2 Al 3.05, 2 Y 3.06
Al 0.8750 0.4696 0.0304  2 Tl 2.73, 2 Al 3.05, 2 Y 3.06
Y 0.2500 0.5000 0.5000  2 Tl 3.01, 4 Al 3.06
Y 0.5000 0.0000 0.0000  2 Tl 3.01, 4 Al 3.06


Record 20
YAl2Tl: PBEsol geometry, meta-GGA SCAN.

Properties
The formation energy comes out at -0.05 eV per atom. As for the crystal system: cubic. The calculated density is 6.54 g/cm3. For the energy above the lowest structure with this stoichiometry, the calculation gives 15.4 kJ per mole of atoms.

abc: 4.9950 4.9950 4.9950
angles: 60.00 60.00 60.00
Last column: nearest neighbours and their distance in Å.
Sites, in units of the cell vectors:
Al 0.7500 0.7500 0.7500  4 Tl 3.06, 4 Al 3.06
Al 0.0000 0.0000 0.0000  4 Al 3.06, 4 Y 3.06
Tl 0.5000 0.5000 0.5000  4 Al 3.06, 4 Y 3.06
Y 0.2500 0.2500 0.2500  4 Tl 3.06, 4 Al 3.06


Total magnetic moment? In order: 0.00; 0.00; 0.00; 0.45; 0.03; 0.00; 1.50; 0.00; 0.56; 0.01; 0.00; 4.28; 2.15; 3.09; 0.00; 3.17; 0.00; 0.00; 0.00; 0.00 μB/cell.
Uncorrected energy? In order: -108.2; -112.8; -65.8; -90.2; -90.3; -131.6; -237.9; -224.3; -66.2; -169.5; -67.0; -189.6; -80.8; -83.2; -253.3; -358.8; -216.9; -215.8; -231.8; -115.9 eV for the cell shown.